[1]
A plane-wave DFT calculation with PBE-GGA was carried out for a relaxed structure of MgSi2.

Computed properties:
**V**: 416 Å³ per cell
**Formation energy from raw total energies**: 0.181 eV per atom
**Spin magnetization**: 0.000 μB per atom
**E_tot**: -3.966 eV per atom
**Energy above the lowest structure with this stoichiometry**: 157 meV/atom

abc: 9.7823 3.5231 12.3001
angles: 90.00 101.02 90.00
Last column: nearest neighbours and their distance in Å.
Space group Cm (No. 8)
Inequivalent atoms, fractional coordinates:
Mg  0.0000  0.0000  0.0000 (multiplicity 2)  8 Si 2.68-2.96
Mg  0.0201  0.5000  0.3866 (multiplicity 2)  6 Si 2.64-2.92
Mg  0.2002  0.5000  0.6240 (multiplicity 2)  6 Si 2.70-2.85, 2 Mg 3.01
Mg  0.3529  0.0000  0.8053 (multiplicity 2)  8 Si 2.73-3.05, 2 Mg 3.01
Si  0.0372  0.0000  0.7271 (multiplicity 2)  4 Si 2.58-2.60, 4 Mg 2.82-2.83
Si  0.0676  0.5000  0.1820 (multiplicity 2)  3 Si 2.54-2.57, 3 Mg 2.64-2.83
Si  0.1524  0.5000  0.8709 (multiplicity 2)  4 Si 2.57-2.60, 2 Mg 2.86
Si  0.2232  0.0000  0.2919 (multiplicity 2)  6 Si 2.54-2.67
Si  0.2759  0.0000  0.0070 (multiplicity 2)  4 Si 2.57-2.60, 4 Mg 2.68-2.83
Si  0.3192  0.5000  0.4429 (multiplicity 2)  4 Si 2.55-2.60, 3 Mg 2.70-2.82
Si  0.3251  0.5000  0.1648 (multiplicity 2)  5 Si 2.57-2.67
Si  0.4159  0.0000  0.5876 (multiplicity 2)  4 Si 2.55-2.58, 4 Mg 2.73-2.85


[2]
A plane-wave DFT calculation with PBE-GGA was carried out for a relaxed structure of Mg6Si5.

Computed properties:
**V**: 441 Å³ per cell
**Formation energy from raw total energies**: 0.053 eV per atom
**Spin magnetization**: 0.000 μB per atom
**E_tot**: -3.282 eV per atom
**Energy above the lowest structure with this stoichiometry**: 56 meV/atom

abc: 5.4211 6.2937 13.2329
angles: 84.23 79.14 89.81
Last column: nearest neighbours and their distance in Å.
Space group P1 (No. 1)
Inequivalent atoms, fractional coordinates:
Mg  0.0000  0.0000  0.0000 (multiplicity 1)  3 Si 2.72-3.03
Mg  0.9999  0.4906  0.5831 (multiplicity 1)  4 Si 2.69-2.95
Mg  0.2972  0.4786  0.1083 (multiplicity 1)  3 Si 2.74-2.80, 3 Mg 2.94-3.04
Mg  0.4077  0.9572  0.1417 (multiplicity 1)  3 Si 2.71-2.86
Mg  0.4570  0.7408  0.6686 (multiplicity 1)  5 Si 2.69-2.93
Mg  0.4841  0.9107  0.4212 (multiplicity 1)  6 Si 2.75-3.07
Mg  0.5512  0.8008  0.9019 (multiplicity 1)  4 Si 2.68-2.99
Mg  0.5999  0.4129  0.4434 (multiplicity 1)  5 Si 2.79-2.95
Mg  0.8136  0.2044  0.7798 (multiplicity 1)  4 Si 2.71-2.83, 1 Mg 3.02
Mg  0.8350  0.4721  0.0156 (multiplicity 1)  2 Si 2.67-2.75, 1 Mg 2.94
Mg  0.8417  0.7012  0.2194 (multiplicity 1)  3 Si 2.78-2.99, 2 Mg 3.04-3.09
Mg  0.8486  0.1897  0.2286 (multiplicity 1)  3 Si 2.88-3.03, 4 Mg 3.09-3.21
Si  0.1027  0.7168  0.8563 (multiplicity 1)  2 Si 2.37-2.42
Si  0.1929  0.0637  0.5919 (multiplicity 1)  3 Si 2.41-2.46
Si  0.2341  0.3521  0.8374 (multiplicity 1)  3 Si 2.42-2.45
Si  0.3180  0.2459  0.2979 (multiplicity 1)  2 Si 2.41-2.43
Si  0.3202  0.6284  0.2978 (multiplicity 1)  2 Si 2.41
Si  0.4424  0.3108  0.6592 (multiplicity 1)  2 Si 2.41-2.45
Si  0.4849  0.2129  0.9613 (multiplicity 1)  1 Si 2.42, 1 Mg 2.71
Si  0.9139  0.8112  0.7105 (multiplicity 1)  2 Si 2.37-2.43
Si  0.9574  0.7461  0.4122 (multiplicity 1)  2 Si 2.41-2.42, 1 Mg 2.69
Si  0.9866  0.1176  0.4410 (multiplicity 1)  3 Si 2.42-2.46


[3]
A plane-wave DFT calculation with PBE-GGA was carried out for a relaxed structure of Mg6Si5.

Computed properties:
**V**: 427 Å³ per cell
**Formation energy from raw total energies**: 0.073 eV per atom
**Spin magnetization**: 0.000 μB per atom
**E_tot**: -3.262 eV per atom
**Energy above the lowest structure with this stoichiometry**: 77 meV/atom

abc: 4.4498 6.7737 14.1909
angles: 90.25 93.96 91.32
Last column: nearest neighbours and their distance in Å.
Space group P1 (No. 1)
Inequivalent atoms, fractional coordinates:
Mg  0.0000  0.0000  0.0000 (multiplicity 1)  6 Si 2.91-3.06, 4 Mg 3.05-3.16
Mg  0.0006  0.4933  0.0571 (multiplicity 1)  6 Si 2.85-3.11
Mg  0.0505  0.2962  0.3840 (multiplicity 1)  4 Si 2.68-2.77
Mg  0.3205  0.0324  0.7492 (multiplicity 1)  3 Si 2.65-2.84, 3 Mg 2.89-2.97
Mg  0.3627  0.4784  0.7330 (multiplicity 1)  6 Si 2.66-2.97, 1 Mg 2.86
Mg  0.4691  0.7452  0.9082 (multiplicity 1)  3 Si 2.75-2.90, 2 Mg 3.03-3.07
Mg  0.4760  0.2737  0.9214 (multiplicity 1)  2 Si 2.68-2.77, 1 Mg 2.97
Mg  0.5293  0.1454  0.5349 (multiplicity 1)  6 Si 2.83-2.99, 1 Mg 3.11
Mg  0.5394  0.9868  0.3081 (multiplicity 1)  10 Si 2.93-3.26, 1 Mg 3.19
Mg  0.5475  0.4913  0.2413 (multiplicity 1)  6 Si 2.85-3.19
Mg  0.5985  0.6115  0.4648 (multiplicity 1)  5 Si 2.69-2.89
Mg  0.8033  0.7789  0.6992 (multiplicity 1)  2 Si 2.58-2.76, 2 Mg 2.86-2.89
Si  0.0182  0.9309  0.4567 (multiplicity 1)  2 Si 2.41-2.46, 1 Mg 2.69
Si  0.0359  0.4106  0.5713 (multiplicity 1)  2 Si 2.55-2.57, 3 Mg 2.66-2.77
Si  0.0400  0.8182  0.1859 (multiplicity 1)  4 Si 2.37-2.54
Si  0.0540  0.1842  0.1977 (multiplicity 1)  3 Si 2.48-2.58, 1 Mg 2.75
Si  0.0742  0.6797  0.3389 (multiplicity 1)  2 Si 2.37-2.41
Si  0.2556  0.7623  0.5949 (multiplicity 1)  2 Si 2.46-2.57, 2 Mg 2.58-2.69
Si  0.5229  0.8010  0.1007 (multiplicity 1)  3 Si 2.52-2.56, 1 Mg 2.75
Si  0.5330  0.1791  0.1051 (multiplicity 1)  3 Si 2.56-2.58, 2 Mg 2.68-2.85
Si  0.8350  0.2485  0.7166 (multiplicity 1)  2 Si 2.55-2.63, 4 Mg 2.65-2.78
Si  0.9329  0.5072  0.8551 (multiplicity 1)  1 Si 2.63, 6 Mg 2.68-2.92


[4]
A plane-wave DFT calculation with PBE-GGA was carried out for a relaxed structure of Mg5Si9.

Computed properties:
**V**: 517 Å³ per cell
**Formation energy from raw total energies**: 0.142 eV per atom
**Spin magnetization**: 0.000 μB per atom
**E_tot**: -3.914 eV per atom
**Energy above the lowest structure with this stoichiometry**: 44 meV/atom

abc: 5.4487 8.2521 11.9315
angles: 89.94 79.61 78.60
Last column: nearest neighbours and their distance in Å.
Space group P1 (No. 1)
Inequivalent atoms, fractional coordinates:
Mg  0.0000  0.0000  0.0000 (multiplicity 1)  7 Si 2.82-3.16
Mg  0.0235  0.1616  0.3728 (multiplicity 1)  7 Si 2.82-3.08, 1 Mg 3.02
Mg  0.1452  0.7090  0.7238 (multiplicity 1)  5 Si 2.73-2.89, 1 Mg 3.02
Mg  0.3033  0.3213  0.7546 (multiplicity 1)  6 Si 2.66-2.96, 1 Mg 2.90
Mg  0.4048  0.3101  0.9856 (multiplicity 1)  5 Si 2.68-2.98, 1 Mg 2.90
Mg  0.5291  0.4863  0.3889 (multiplicity 1)  9 Si 2.85-3.11
Mg  0.5597  0.9283  0.8469 (multiplicity 1)  5 Si 2.76-2.84
Mg  0.6871  0.5476  0.7555 (multiplicity 1)  5 Si 2.74-2.96, 1 Mg 3.02
Mg  0.7432  0.7642  0.1932 (multiplicity 1)  9 Si 2.77-3.07
Mg  0.8705  0.9467  0.5680 (multiplicity 1)  5 Si 2.72-2.99, 1 Mg 3.02
Si  0.0687  0.4655  0.5663 (multiplicity 1)  3 Si 2.41-2.42
Si  0.0738  0.4469  0.2450 (multiplicity 1)  4 Si 2.46-2.53
Si  0.1996  0.8671  0.1991 (multiplicity 1)  3 Si 2.38-2.44
Si  0.2864  0.8326  0.3919 (multiplicity 1)  4 Si 2.44-2.54
Si  0.2898  0.0069  0.6726 (multiplicity 1)  3 Si 2.50-2.64, 3 Mg 2.76-2.79
Si  0.2961  0.6750  0.9301 (multiplicity 1)  2 Si 2.42-2.43
Si  0.3582  0.5946  0.1196 (multiplicity 1)  4 Si 2.38-2.46
Si  0.4055  0.2213  0.5355 (multiplicity 1)  4 Si 2.37-2.50
Si  0.4732  0.2231  0.2221 (multiplicity 1)  4 Si 2.38-2.53
Si  0.4760  0.0136  0.0802 (multiplicity 1)  2 Si 2.38-2.42
Si  0.5415  0.7442  0.5451 (multiplicity 1)  3 Si 2.51-2.64, 2 Mg 2.73-2.81
Si  0.5707  0.0449  0.3716 (multiplicity 1)  3 Si 2.37-2.54
Si  0.7479  0.4020  0.1356 (multiplicity 1)  4 Si 2.41-2.47
Si  0.7749  0.2804  0.6021 (multiplicity 1)  3 Si 2.41-2.47
Si  0.8503  0.6624  0.9433 (multiplicity 1)  2 Si 2.43-2.47
Si  0.8538  0.1640  0.7862 (multiplicity 1)  3 Si 2.47-2.61
Si  0.9236  0.3569  0.9326 (multiplicity 1)  3 Si 2.44-2.49, 1 Mg 2.66
Si  0.9649  0.6452  0.4150 (multiplicity 1)  4 Si 2.41-2.54


[5]
A plane-wave DFT calculation with PBE-GGA was carried out for a relaxed structure of MgSi2.

Computed properties:
**V**: 231 Å³ per cell
**Formation energy from raw total energies**: 0.128 eV per atom
**Spin magnetization**: 0.000 μB per atom
**E_tot**: -4.019 eV per atom
**Energy above the lowest structure with this stoichiometry**: 104 meV/atom

abc: 3.7175 6.2207 10.2264
angles: 100.10 92.13 96.08
Last column: nearest neighbours and their distance in Å.
Space group P1 (No. 1)
Inequivalent atoms, fractional coordinates:
Mg  0.0000  0.0000  0.0000 (multiplicity 1)  5 Si 2.71-2.92
Mg  0.1599  0.6982  0.4937 (multiplicity 1)  6 Si 2.76-2.94
Mg  0.5828  0.6808  0.1808 (multiplicity 1)  5 Si 2.72-2.91
Mg  0.7892  0.0828  0.7021 (multiplicity 1)  5 Si 2.68-2.96
Si  0.0127  0.5550  0.9699 (multiplicity 1)  3 Si 2.40-2.54
Si  0.1149  0.3770  0.2683 (multiplicity 1)  3 Si 2.37-2.55
Si  0.2518  0.2307  0.4801 (multiplicity 1)  4 Si 2.38-2.55
Si  0.3251  0.4411  0.6994 (multiplicity 1)  4 Si 2.38-2.57
Si  0.4674  0.3064  0.9174 (multiplicity 1)  3 Si 2.40-2.57
Si  0.5709  0.1382  0.2073 (multiplicity 1)  3 Si 2.37-2.56
Si  0.7010  0.9905  0.4203 (multiplicity 1)  3 Si 2.38-2.56
Si  0.8721  0.6813  0.7519 (multiplicity 1)  3 Si 2.38-2.54


[6]
A plane-wave DFT calculation with PBE-GGA was carried out for a relaxed structure of MgSi2.

Computed properties:
**V**: 397 Å³ per cell
**Formation energy from raw total energies**: 0.149 eV per atom
**Spin magnetization**: 0.000 μB per atom
**E_tot**: -3.997 eV per atom
**Energy above the lowest structure with this stoichiometry**: 126 meV/atom

abc: 7.3483 7.3483 7.3483
angles: 90.00 90.00 90.00
Last column: nearest neighbours and their distance in Å.
Space group Fd-3m (No. 227, origin choice 2)
Inequivalent atoms, fractional coordinates:
Mg  0.1250  0.1250  0.1250 (multiplicity 8)  12 Si 3.05, 4 Mg 3.18
Si  0.0000  0.0000  0.5000 (multiplicity 16)  6 Si 2.60